# ReNiO2

ReNiO2 after structural relaxation (PBE+U, Alexandria via LeMat-Bulk).

## Properties
Spin magnetization (μB/f.u.): 1.00
Volume (A^3/atom): 12.9
Total energy (Ry/atom): -0.5076

a = 3.6533 Å, b = 4.9776 Å, c = 6.3029 Å
α = 105.71°, β = 100.82°, γ = 103.76°
Last column: nearest neighbours and their distance in Å.
Space group P1 (No. 1)
Inequivalent atoms, fractional coordinates:
Re 0.0000 0.0000 0.0000  3 O 1.98-2.04
Re 0.2740 0.6675 0.8143  3 O 1.86-1.99
Ni 0.5450 0.0449 0.4079  4 O 2.00-2.11
Ni 0.6773 0.4628 0.2411  3 O 1.89-2.04
O 0.2634 0.3879 0.9700  2 Re 1.91-2.02, 1 Ni 1.94
O 0.6038 0.9543 0.7078  2 Re 1.99-2.04, 1 Ni 2.04
O 0.9618 0.4505 0.5201  1 Re 1.86, 2 Ni 1.89-2.06
O 0.9639 0.8818 0.2725  1 Re 1.98, 3 Ni 2.00-2.11